Entry 1:
This record from Alexandria via LeMat-Bulk describes a geometry-optimized Ce3Nd5As8 structure. The functional is GGA-PBE.

POSCAR file:
```
Ce3Nd5As8
1.0
7.376 0.000 4.225
2.478 6.947 4.225
0.029 0.020 8.501
As Ce Nd
8 3 5
Cartesian
2.485 1.752 8.449
7.398 5.216 8.502
3.676 5.216 6.370
7.431 5.239 12.680
3.735 5.257 10.581
6.147 1.710 6.370
6.207 1.752 10.581
2.452 1.729 4.270
1.253 3.484 6.363
0.014 0.010 4.250
3.702 0.010 6.363
1.239 3.474 2.112
0.000 0.000 0.000
4.941 3.484 8.475
3.688 0.000 2.112
4.927 3.474 4.225
```

Summary:
As for the energy of formation: -1487 meV per atom. Its volume is 434.3 Å³ per cell. Its spin magnetization is 1.8 μB per formula unit. As for the crystal system: trigonal.

---

Entry 2:
This record from Alexandria via LeMat-Bulk describes a geometry-optimized Tc3W2 structure. The functional is GGA-PBE.

POSCAR file:
```
Tc3W2
1.0
-2.099 -1.031 3.606
2.016 -3.050 -2.260
4.425 0.839 2.816
W Tc
2 3
Cartesian
0.057 -1.555 2.150
4.285 -1.687 2.012
2.162 -2.089 0.661
2.180 -1.153 3.501
0.000 0.000 0.000
```

Summary:
As for the energy of formation: 418 meV per atom. Its volume is 85.0 Å³ per cell. Its energy above the lowest structure with this stoichiometry is 276.0 meV/atom. Its spin magnetization is 0.0 μB per formula unit. As for the crystal system: trigonal.

---

Entry 3:
This record from Alexandria via LeMat-Bulk describes a geometry-optimized BeSiP2 structure. The functional is GGA-PBE.

POSCAR file:
```
BeSiP2
1.0
-3.157 -2.660 0.885
0.185 -2.422 3.453
-2.563 0.777 3.263
P Be Si
2 1 1
Cartesian
0.000 0.000 0.000
-1.384 -1.076 1.900
-2.768 -2.152 3.801
-4.152 -3.228 5.701
```

Summary:
The formation energy from raw total energies is 710 meV per atom. Its volume is 53.2 Å³ per cell. Its energy above the lowest structure with this stoichiometry is 1088.5 meV/atom. Its spin magnetization is 0.0 μB per formula unit. As for the crystal system: cubic.

---

DFT total energy per entry: -102.628 -54.914 -17.130 eV for the cell shown